VASP calculation (PBE-GGA) on an optimized crystal structure of K3P4HAu2O14.

Lattice parameters (Å, degrees): 5.5001 5.6441 12.7675 88.74 78.98 62.35
Space group P-1 (No. 2)
Asymmetric unit:
K 0.0000 0.0000 0.0000
K 0.2041 0.1473 0.4355
P 0.4203 0.5235 0.6501
P 0.4320 0.3032 0.8591
H 0.5000 0.5000 0.0000
Au 0.0073 0.2617 0.7314
O 0.2506 0.8836 0.1711
O 0.2557 0.6381 0.3849
O 0.2786 0.1439 0.8435
O 0.2899 0.3535 0.6162
O 0.2995 0.8024 0.6139
O 0.3373 0.4406 0.9725
O 0.3499 0.5497 0.7817

Calculated values
calculated total energy: -6.0962 eV per atom
mass density: 4.16 g/cm3